No. 1
Computed, not measured: a relaxed Ho5UC4 crystal at the PBE-GGA level of DFT.

```
Ho5UC4
1.0
-3.357 1.093 -0.527
-2.395 -5.375 4.103
2.741 5.188 5.391
Ho C U
5 4 1
direct
0.839 0.687 0.677 Ho
0.167 0.848 0.334 Ho
0.161 0.313 0.323 Ho
0.833 0.152 0.666 Ho
0.500 0.500 0.000 Ho
0.341 0.921 0.683 C
0.999 0.770 0.998 C
0.001 0.230 0.002 C
0.659 0.079 0.317 C
0.500 0.000 0.000 U
```

Results
Symmetry: C2/m (12)
Total moment, μB per formula unit: 0.00
Electronic total energy, eV for the cell shown: -73.9
Calculated formation energy, eV per atom: -0.28



No. 2
Computed, not measured: a relaxed Ho2UC2 crystal at the PBE-GGA level of DFT.

```
Ho2UC2
1.0
-4.660 2.513 -0.224
-4.616 -3.250 -3.092
-4.607 -2.632 3.644
Ho C U
4 4 2
direct
0.658 0.713 0.970 Ho
0.158 0.970 0.713 Ho
0.342 0.287 0.030 Ho
0.842 0.030 0.287 Ho
0.898 0.342 0.863 C
0.602 0.137 0.658 C
0.102 0.658 0.137 C
0.398 0.863 0.342 C
0.250 0.500 0.500 U
0.750 0.500 0.500 U
```

Results
Symmetry: Ibam (72)
Total moment, μB per formula unit: 0.72
Electronic total energy, eV for the cell shown: -78.1
Calculated formation energy, eV per atom: -0.03



No. 3
Computed, not measured: a relaxed HoU4C5 crystal at the PBE-GGA level of DFT.

```
HoU4C5
1.0
3.424 0.000 -0.661
-0.256 4.788 -1.329
0.008 -0.017 9.249
C U Ho
5 4 1
direct
0.000 0.500 0.000 C
0.803 0.303 0.605 C
0.392 0.892 0.785 C
0.608 0.108 0.215 C
0.197 0.697 0.395 C
0.599 0.599 0.198 U
0.800 0.800 0.599 U
0.200 0.200 0.401 U
0.401 0.401 0.802 U
0.000 0.000 0.000 Ho
```

Results
Symmetry: Immm (71)
Total moment, μB per formula unit: 0.00
Electronic total energy, eV for the cell shown: -97.6
Calculated formation energy, eV per atom: -0.17



No. 4
Computed, not measured: a relaxed Ho3UC4 crystal at the PBE-GGA level of DFT.

```
Ho3UC4
1.0
3.568 0.000 0.000
0.000 5.802 -2.020
0.000 -0.088 6.143
Ho C U
3 4 1
direct
0.500 0.500 0.500 Ho
0.000 0.000 0.500 Ho
0.000 0.500 0.000 Ho
0.500 0.235 0.765 C
0.000 0.776 0.776 C
0.500 0.765 0.235 C
0.000 0.224 0.224 C
0.500 0.000 0.000 U
```

Results
Symmetry: Cmmm (65)
Total moment, μB per formula unit: 0.00
Electronic total energy, eV for the cell shown: -63.8
Calculated formation energy, eV per atom: -0.23



No. 5
Computed, not measured: a relaxed HoUC crystal at the PBE-GGA level of DFT.

```
HoUC
1.0
-1.768 2.119 -5.522
-3.169 -0.952 0.649
1.040 3.092 0.853
U C Ho
1 1 1
direct
0.226 0.667 0.333 U
0.010 0.000 0.000 C
0.764 0.333 0.667 Ho
```

Results
Symmetry: P3m1 (156)
Total moment, μB per formula unit: 2.04
Electronic total energy, eV for the cell shown: -25.2
Energy above the lowest structure with this stoichiometry, meV per atom: 98
Calculated formation energy, eV per atom: -0.02



No. 6
Computed, not measured: a relaxed HoUC crystal at the PBE-GGA level of DFT.

```
HoUC
1.0
-1.538 2.587 -0.586
-2.573 -1.619 -0.397
0.844 0.066 6.101
U Ho C
1 1 1
direct
0.232 0.232 0.463 U
0.982 0.982 0.964 Ho
0.637 0.637 0.273 C
```

Results
Symmetry: I4mm (107)
Total moment, μB per formula unit: 0.47
Electronic total energy, eV for the cell shown: -24.1
Energy above the lowest structure with this stoichiometry, meV per atom: 435
Calculated formation energy, eV per atom: 0.31



No. 7
Computed, not measured: a relaxed HoUC crystal at the PBE-GGA level of DFT.

```
HoUC
1.0
-0.284 -2.891 1.790
2.684 -4.501 -6.844
6.759 1.110 2.866
U C Ho
4 4 4
direct
0.751 0.582 0.122 U
0.249 0.418 0.878 U
0.749 0.082 0.622 U
0.251 0.918 0.378 U
0.250 0.636 0.343 C
0.250 0.136 0.843 C
0.750 0.864 0.157 C
0.750 0.364 0.657 C
0.250 0.355 0.414 Ho
0.750 0.145 0.086 Ho
0.750 0.645 0.586 Ho
0.250 0.855 0.914 Ho
```

Results
Symmetry: P2_1/m (11)
Total moment, μB per formula unit: 0.59
Electronic total energy, eV for the cell shown: -101.8
Energy above the lowest structure with this stoichiometry, meV per atom: 0
Calculated formation energy, eV per atom: -0.12



No. 8
Computed, not measured: a relaxed HoUWC3 crystal at the PBE-GGA level of DFT.

```
HoUWC3
1.0
-1.443 1.320 -3.023
-6.073 -3.261 1.475
-2.018 6.606 3.849
C W U Ho
6 2 2 2
direct
0.250 0.817 0.493 C
0.750 0.873 0.149 C
0.750 0.414 0.117 C
0.250 0.127 0.851 C
0.250 0.586 0.883 C
0.750 0.183 0.507 C
0.250 0.106 0.596 W
0.750 0.894 0.404 W
0.250 0.630 0.165 U
0.750 0.370 0.835 U
0.750 0.851 0.845 Ho
0.250 0.149 0.155 Ho
```

Results
Symmetry: P2_1/m (11)
Total moment, μB per formula unit: 0.00
Electronic total energy, eV for the cell shown: -112.0
Calculated formation energy, eV per atom: 0.08



No. 9
Computed, not measured: a relaxed HoZr2UC4 crystal at the PBE-GGA level of DFT.

```
HoZr2UC4
1.0
3.426 0.000 0.000
0.000 5.973 -0.163
0.000 2.060 5.552
Zr Ho C U
2 1 4 1
direct
0.500 0.000 0.500 Zr
0.000 0.000 0.000 Zr
0.000 0.500 0.500 Ho
0.500 0.247 0.771 C
0.000 0.756 0.757 C
0.500 0.753 0.229 C
0.000 0.244 0.243 C
0.500 0.500 0.000 U
```

Results
Symmetry: P2/m (10)
Total moment, μB per formula unit: 0.00
Electronic total energy, eV for the cell shown: -74.0
Calculated formation energy, eV per atom: -0.52



No. 10
Computed, not measured: a relaxed Ho2V2C3 crystal at the PBE-GGA level of DFT.

```
Ho2V2C3
1.0
-1.466 2.754 1.100
-3.545 -3.096 3.027
5.480 -0.017 2.369
Ho C V
2 3 2
direct
0.393 0.174 0.786 Ho
0.607 0.826 0.214 Ho
0.750 0.278 0.500 C
0.250 0.722 0.500 C
0.000 0.000 0.000 C
0.842 0.673 0.684 V
0.158 0.327 0.316 V
```

Results
Symmetry: C2/m (12)
Total moment, μB per formula unit: 0.00
Electronic total energy, eV for the cell shown: -58.0
Calculated formation energy, eV per atom: -0.42



No. 11
Computed, not measured: a relaxed Ho2VC2 crystal at the PBE-GGA level of DFT.

```
Ho2VC2
1.0
-1.973 0.621 -4.620
-6.026 0.407 -0.145
-2.854 6.262 -0.713
V Ho C
2 4 4
direct
0.638 0.846 0.878 V
0.362 0.154 0.122 V
0.971 0.290 0.767 Ho
0.029 0.710 0.233 Ho
0.680 0.252 0.388 Ho
0.320 0.748 0.612 Ho
0.186 0.244 0.385 C
0.814 0.756 0.615 C
0.504 0.776 0.216 C
0.496 0.224 0.784 C
```

Results
Symmetry: C2/m (12)
Total moment, μB per formula unit: 0.00
Electronic total energy, eV for the cell shown: -76.6
Calculated formation energy, eV per atom: -0.31



No. 12
Computed, not measured: a relaxed HoVC2 crystal at the PBE-GGA level of DFT.

```
HoVC2
1.0
3.194 0.000 0.000
1.597 2.766 0.000
1.597 0.922 5.386
C V Ho
2 1 1
direct
0.265 0.265 0.206 C
0.735 0.735 0.794 C
0.000 0.000 0.000 V
0.500 0.500 0.500 Ho
```

Results
Symmetry: R-3m (166)
Total moment, μB per formula unit: 0.00
Electronic total energy, eV for the cell shown: -32.9
Calculated formation energy, eV per atom: -0.20